1.
# CaZr2FeBr, optimized geometry, DFT PBE-GGA
# DOS at the Fermi energy = 8.41 states/eV/cell
# Formation energy from raw total energies = 1.695 eV/atom
data_CaZr2FeBr
_chemical_formula_sum 'Ca1 Zr2 Fe1 Br1'
_symmetry_space_group_name_H-M 'P 4/m m m'
_symmetry_Int_Tables_number 123
_symmetry_space_group_name_Hall '-P 4 2'
_cell_length_a 5.429
_cell_length_b 5.429
_cell_length_c 4.171
_cell_angle_alpha 90.00
_cell_angle_beta 90.00
_cell_angle_gamma 90.00
loop_
_atom_site_label
_atom_site_fract_x
_atom_site_fract_y
_atom_site_fract_z
Ca1 0.000 0.000 0.000
Zr1 0.000 0.500 0.000
Fe1 0.000 0.000 0.500
Br1 0.500 0.500 0.500


2.
# Na2SbF6, optimized geometry, DFT PBE-GGA
# DOS at the Fermi energy = 6.40 states/eV/cell
# Formation energy from raw total energies = -2.531 eV/atom
data_Na2SbF6
_chemical_formula_sum 'Na4 Sb2 F12'
_symmetry_space_group_name_H-M 'P 42/m n m'
_symmetry_Int_Tables_number 136
_symmetry_space_group_name_Hall '-P 4n 2n'
_cell_length_a 5.193
_cell_length_b 5.193
_cell_length_c 10.421
_cell_angle_alpha 90.00
_cell_angle_beta 90.00
_cell_angle_gamma 90.00
loop_
_atom_site_label
_atom_site_fract_x
_atom_site_fract_y
_atom_site_fract_z
Na1 0.000 0.000 0.164
Sb1 0.000 0.000 0.500
F1 0.187 0.187 0.352
F2 0.219 0.219 0.000